1.
{
  "formula": "SrZrMn2",
  "functional": "PBE",
  "state": "relaxed",
  "dos_ef_per_ev_atom": 0.875,
  "e_tot_ev_per_atom": -6.45,
  "relative_energy_mev_per_atom": 378,
  "delta_e_f_ev_per_atom": 0.694,
  "total_magnetization_mub_per_fu": 6.40,
  "lattice_angstrom": [[4.4095, 0.0000, 0.0000], [0.0000, 4.4095, 0.0000], [0.0000, 0.0000, 9.1694]],
  "species": ["Sr", "Sr", "Zr", "Zr", "Mn", "Mn", "Mn", "Mn"],
  "fractional_positions": [[0.0000, 0.0000, 0.0000], [0.5000, 0.5000, 0.5000], [0.0000, 0.5000, 0.7500], [0.5000, 0.0000, 0.2500], [0.0000, 0.0000, 0.5000], [0.0000, 0.5000, 0.2500], [0.5000, 0.0000, 0.7500], [0.5000, 0.5000, 0.0000]]
}

***

2.
{
  "formula": "SrZrMn2",
  "functional": "PBE",
  "state": "relaxed",
  "dos_ef_per_ev_atom": 0.772,
  "e_tot_ev_per_atom": -6.69,
  "relative_energy_mev_per_atom": 134,
  "delta_e_f_ev_per_atom": 0.450,
  "total_magnetization_mub_per_fu": 0.00,
  "lattice_angstrom": [[3.4363, 0.0000, 0.0000], [0.0000, 4.4418, 0.0000], [0.0000, 0.0000, 11.9898]],
  "species": ["Sr", "Sr", "Zr", "Zr", "Mn", "Mn", "Mn", "Mn"],
  "fractional_positions": [[0.0000, 0.0000, 0.0000], [0.5000, 0.5000, 0.5000], [0.0000, 0.5000, 0.7668], [0.5000, 0.0000, 0.2668], [0.0000, 0.0000, 0.6402], [0.0000, 0.5000, 0.2390], [0.5000, 0.0000, 0.7390], [0.5000, 0.5000, 0.1402]]
}